Crystalline InSbS3 at its relaxed geometry, computed with GGA-PBEsol.

Computed properties:
The value obtained for the energy above the lowest structure with this stoichiometry is 0.0 kJ per mole of atoms. Its formation energy without anion corrections is -0.44 eV/atom.

```
20
Lattice="9.265 0.000 0.000 0.000 3.828 0.000 0.000 0.000 12.987" Properties=species:S:1:pos:R:3 pbc="T T T"
In 1.437 0.957 0.569
In 3.195 2.871 7.063
In 6.069 0.957 5.924
In 7.828 2.871 12.417
Sb 0.183 0.957 8.440
Sb 4.449 2.871 1.947
Sb 4.815 0.957 11.040
Sb 9.082 2.871 4.547
S 0.012 2.871 1.539
S 1.447 0.957 6.220
S 1.735 2.871 9.203
S 2.897 0.957 2.710
S 3.185 2.871 12.713
S 4.620 0.957 8.032
S 4.644 2.871 4.955
S 6.079 0.957 0.274
S 6.367 2.871 10.277
S 7.530 0.957 3.784
S 7.817 2.871 6.767
S 9.252 0.957 11.448
```

---

Crystalline InSbS3 at its relaxed geometry, computed with GGA-PBEsol.

Computed properties:
The value obtained for the energy above the lowest structure with this stoichiometry is 74.1 kJ per mole of atoms. Its formation energy without anion corrections is 0.33 eV/atom.

```
5
Lattice="4.886 0.000 0.000 0.000 4.886 0.000 0.000 0.000 4.886" Properties=species:S:1:pos:R:3 pbc="T T T"
In 0.000 0.000 0.000
Sb 2.443 2.443 2.443
S 0.000 0.000 2.443
S 0.000 2.443 0.000
S 2.443 0.000 0.000
```

---

Crystalline InSbS2 at its relaxed geometry, computed with GGA-PBEsol.

Computed properties:
Its formation energy without anion corrections is -0.34 eV/atom.

```
4
Lattice="1.843 1.064 8.259 -1.843 1.064 8.259 0.000 -2.128 8.259" Properties=species:S:1:pos:R:3 pbc="T T T"
In 0.000 0.000 0.000
Sb 0.000 0.000 12.389
S 0.000 0.000 9.737
S 0.000 0.000 15.040
```

---

Crystalline InSiSbS2 at its relaxed geometry, computed with GGA-PBEsol.

Computed properties:
Its formation energy without anion corrections is 0.69 eV/atom.

```
5
Lattice="4.907 0.000 0.000 0.000 4.907 0.000 0.000 0.000 5.027" Properties=species:S:1:pos:R:3 pbc="T T T"
In 0.000 0.000 0.000
Si 0.000 0.000 2.513
Sb 2.454 2.454 2.513
S 0.000 2.454 0.000
S 2.454 0.000 0.000
```

---

Crystalline Zr2InSbS at its relaxed geometry, computed with GGA-PBEsol.

Computed properties:
Its formation energy without anion corrections is 0.71 eV/atom.

```
5
Lattice="5.374 0.000 0.000 0.000 5.374 0.000 0.000 0.000 4.617" Properties=species:S:1:pos:R:3 pbc="T T T"
Zr 0.000 2.687 0.000
Zr 2.687 0.000 0.000
In 0.000 0.000 0.000
Sb 2.687 2.687 2.308
S 0.000 0.000 2.308
```

---

Crystalline In3SiS at its relaxed geometry, computed with GGA-PBEsol.

Computed properties:
Its formation energy without anion corrections is 0.57 eV/atom.

```
5
Lattice="5.096 0.000 0.000 0.000 5.096 0.000 0.000 0.000 5.096" Properties=species:S:1:pos:R:3 pbc="T T T"
In 0.000 0.000 2.548
In 0.000 2.548 0.000
In 2.548 0.000 0.000
Si 2.548 2.548 2.548
S 0.000 0.000 0.000
```

---

no.,density (g/cm³)
1,4.8
2,4.7
3,5.1
4,4.5
5,5.6
6,5.1